Pm5MgTl6: relaxed, PBE.

Cell lengths 5.3942, 7.7270, 9.4975 Å; angles 114.01, 106.93, 90.00 degrees
Positions (direct):
Pm 0.6577 0.1576 0.3151
Pm 0.3287 0.3290 0.6581
Tl 0.1634 0.9151 0.3266
Pm 0.0000 0.5000 0.0000
Mg 0.0000 0.0000 0.0000
Tl 0.5000 0.2501 0.0000
Pm 0.3423 0.8424 0.6849
Tl 0.8366 0.0849 0.6734
Tl 0.5000 0.7499 0.0000
Tl 0.1635 0.4114 0.3266
Pm 0.6713 0.6710 0.3419
Tl 0.8365 0.5886 0.6734

## Properties
Spin magnetization = 0.00 μB/cell
Fermi-level density of states = 9.3 states/eV/f.u.
DFT formation energy = -0.34 eV per atom
Crystal system = monoclinic
E_tot = -3.63 eV/atom

***

AlTc2Sb: relaxed, PBE.

Cell lengths 8.3934, 8.3934, 8.3934 Å; angles 20.96, 20.96, 20.96 degrees
Positions (direct):
Tc 0.9989 0.9989 0.9989
Al 0.2500 0.2500 0.2500
Sb 0.7500 0.7500 0.7500
Tc 0.5011 0.5011 0.5011

## Properties
Spin magnetization = 0.02 μB/cell
Fermi-level density of states = 4.7 states/eV/f.u.
Offset from the most stable computed form = 0.240 eV/atom
Crystal system = trigonal
E_form (uncorrected) = 0.168 eV per atom
E_tot = -6.98 eV/atom

***

Sm6TlTe3Rh2: relaxed, PBE.

Cell lengths 4.2085, 9.0807, 9.9721 Å; angles 108.30, 102.18, 90.00 degrees
Positions (direct):
Rh 0.8349 0.6759 0.6698
Rh 0.1651 0.3241 0.3302
Sm 0.0104 0.2603 0.0208
Te 0.1624 0.8282 0.3247
Sm 0.6707 0.1090 0.3414
Te 0.5000 0.5000 0.0000
Sm 0.3293 0.8910 0.6586
Sm 0.3190 0.4445 0.6380
Tl 0.5000 0.0000 0.0000
Sm 0.9896 0.7397 0.9792
Sm 0.6810 0.5555 0.3620
Te 0.8376 0.1718 0.6753

## Properties
Spin magnetization = 0.00 μB/cell
Fermi-level density of states = 5.6 states/eV/f.u.
Crystal system = monoclinic
E_form (uncorrected) = -0.949 eV per atom
E_tot = -5.52 eV/atom